(1)
The following is a DFT calculation (PBE) of a relaxed CaZr2In crystal.

a b c (Å): 4.4972 4.4972 9.6715
angles (deg): 90.00 90.00 90.00
Closest atoms and distances in Å follow each position.
Element x y z (fractional)
1 Ca 0.0000 0.0000 0.0000  4 In 3.18, 8 Zr 3.30
2 Ca 0.5000 0.5000 0.5000  4 In 3.18, 8 Zr 3.30
3 Zr 0.0000 0.5000 0.2500  4 Zr 3.18, 4 In 3.30, 4 Ca 3.30
4 Zr 0.0000 0.5000 0.7500  4 Zr 3.18, 4 In 3.30, 4 Ca 3.30
5 Zr 0.5000 0.0000 0.2500  4 Zr 3.18, 4 In 3.30, 4 Ca 3.30
6 Zr 0.5000 0.0000 0.7500  4 Zr 3.18, 4 In 3.30, 4 Ca 3.30
7 In 0.0000 0.0000 0.5000  4 Ca 3.18, 8 Zr 3.30
8 In 0.5000 0.5000 0.0000  4 Ca 3.18, 8 Zr 3.30

Values from the calculation:
Its calculated formation energy is 0.033 eV per atom.

---

(2)
The following is a DFT calculation (PBE) of a relaxed NbBiI2O crystal.

a b c (Å): 6.2163 6.2163 4.2704
angles (deg): 90.00 90.00 90.00
Closest atoms and distances in Å follow each position.
Element x y z (fractional)
1 Nb 0.0000 0.0000 0.0000  8 I 3.77
2 Bi 0.5000 0.5000 0.5000  2 O 2.14
3 I 0.0000 0.5000 0.5000  2 Bi 3.11
4 I 0.5000 0.0000 0.5000  2 Bi 3.11
5 O 0.5000 0.5000 0.0000  2 Bi 2.14

Values from the calculation:
As for the uncorrected formation energy: 0.505 eV per atom.

---

(3)
The following is a DFT calculation (PBE) of a relaxed SrLi6Ca crystal.

a b c (Å): 6.0149 6.0149 6.0149
angles (deg): 90.00 90.00 90.00
Closest atoms and distances in Å follow each position.
Element x y z (fractional)
1 Sr 0.0000 0.0000 0.0000  12 Li 3.38
2 Li 0.0000 0.2581 0.5000  2 Li 2.91-3.10
3 Li 0.0000 0.7419 0.5000  2 Li 2.91-3.10
4 Li 0.2581 0.5000 0.0000  2 Li 2.91-3.10
5 Li 0.5000 0.0000 0.2581  2 Li 2.91-3.10
6 Li 0.5000 0.0000 0.7419  2 Li 2.91-3.10
7 Li 0.7419 0.5000 0.0000  2 Li 2.91-3.10
8 Ca 0.5000 0.5000 0.5000  12 Li 3.34

Values from the calculation:
Its calculated formation energy is 0.081 eV per atom.

---

(4)
The following is a DFT calculation (PBE) of a relaxed Ta2AsAu crystal.

a b c (Å): 3.7485 4.7731 7.8814
angles (deg): 90.00 90.00 90.00
Closest atoms and distances in Å follow each position.
Element x y z (fractional)
1 Ta 0.0000 0.0000 0.2254  2 As 2.58, 2 Au 2.86
2 Ta 0.0000 0.0000 0.7746  2 As 2.58, 2 Au 2.86
3 Ta 0.5000 0.5000 0.2746  2 As 2.58, 2 Au 2.86
4 Ta 0.5000 0.5000 0.7254  2 As 2.58, 2 Au 2.86
5 As 0.0000 0.5000 0.5000  4 Ta 2.58
6 As 0.5000 0.0000 0.0000  4 Ta 2.58
7 Au 0.0000 0.5000 0.0000  8 Ta 2.86-2.98, 4 As 3.03
8 Au 0.5000 0.0000 0.5000  8 Ta 2.86-2.98, 4 As 3.03

Values from the calculation:
Its calculated formation energy is -0.051 eV per atom.

---

(5)
The following is a DFT calculation (PBE) of a relaxed TeRhSCl2 crystal.

a b c (Å): 4.7418 4.7418 4.7572
angles (deg): 90.00 90.00 90.00
Closest atoms and distances in Å follow each position.
Element x y z (fractional)
1 Te 0.0000 0.0000 0.0000  4 S 3.35, 8 Cl 3.36
2 Rh 0.5000 0.5000 0.5000  4 Cl 2.37, 2 S 2.38
3 S 0.5000 0.5000 0.0000  2 Rh 2.38
4 Cl 0.0000 0.5000 0.5000  2 Rh 2.37
5 Cl 0.5000 0.0000 0.5000  2 Rh 2.37

Values from the calculation:
As for the uncorrected formation energy: 0.137 eV per atom.

---

(6)
The following is a DFT calculation (PBE) of a relaxed KNaCa4 crystal.

a b c (Å): 7.4946 7.4946 7.4946
angles (deg): 60.00 60.00 60.00
Closest atoms and distances in Å follow each position.
Element x y z (fractional)
1 K 0.0000 0.0000 0.0000  12 Ca 4.40, 4 Na 4.59
2 Na 0.2500 0.2500 0.2500  12 Ca 4.39, 4 K 4.59
3 Ca 0.1259 0.6247 0.6247  6 Ca 3.74-3.76
4 Ca 0.6247 0.1259 0.6247  6 Ca 3.74-3.76
5 Ca 0.6247 0.6247 0.1259  6 Ca 3.74-3.76
6 Ca 0.6247 0.6247 0.6247  6 Ca 3.74-3.76

Values from the calculation:
Its calculated formation energy is 0.193 eV per atom.

---

(7)
The following is a DFT calculation (PBE) of a relaxed CaTl2InI6 crystal.

a b c (Å): 8.7093 8.7093 8.7093
angles (deg): 58.27 58.27 58.27
Closest atoms and distances in Å follow each position.
Element x y z (fractional)
1 Ca 0.0000 0.0000 0.0000  6 I 3.14-3.18
2 Tl 0.2971 0.2971 0.2971  6 I 3.53-3.54
3 Tl 0.7953 0.7953 0.7953  6 I 3.55-3.56
4 In 0.5006 0.5006 0.5006  6 I 3.15-3.20
5 I 0.1446 0.7350 0.3512  1 Ca 3.14, 1 In 3.20
6 I 0.2347 0.6442 0.8540  1 In 3.15, 1 Ca 3.18
7 I 0.3512 0.1446 0.7350  1 Ca 3.14, 1 In 3.20
8 I 0.6442 0.8540 0.2347  1 In 3.15, 1 Ca 3.18
9 I 0.7350 0.3512 0.1446  1 Ca 3.14, 1 In 3.20
10 I 0.8540 0.2347 0.6442  1 In 3.15, 1 Ca 3.18

Values from the calculation:
As for the uncorrected formation energy: -0.827 eV per atom.

---

(8)
The following is a DFT calculation (PBE) of a relaxed ZrCu2Re crystal.

a b c (Å): 2.7732 2.7732 7.8611
angles (deg): 90.00 90.00 90.00
Closest atoms and distances in Å follow each position.
Element x y z (fractional)
1 Zr 0.0000 0.0000 0.0000  4 Zr 2.77, 4 Cu 2.89, 4 Re 3.06
2 Cu 0.0000 0.0000 0.4741  8 Cu 2.54-2.77, 4 Re 2.65
3 Cu 0.5000 0.5000 0.2692  8 Cu 2.54-2.77
4 Re 0.5000 0.5000 0.7007  4 Cu 2.65, 4 Re 2.77

Values from the calculation:
Its calculated formation energy is 0.171 eV per atom.

---

(9)
The following is a DFT calculation (PBE) of a relaxed Dy2Er5Tm2 crystal.

a b c (Å): 8.5436 8.5436 6.2353
angles (deg): 104.57 104.57 39.10
Closest atoms and distances in Å follow each position.
Element x y z (fractional)
1 Dy 0.1023 0.1023 0.0188  5 Er 3.21-3.43, 1 Dy 3.24, 2 Tm 3.47
2 Dy 0.8977 0.8977 0.9812  5 Er 3.21-3.43, 1 Dy 3.24, 2 Tm 3.47
3 Er 0.0000 0.0000 0.5000  2 Dy 3.21, 2 Er 3.30, 4 Tm 3.40
4 Er 0.2104 0.2104 0.5732  7 Er 3.30-3.61, 2 Dy 3.43-3.65, 1 Tm 3.57
5 Er 0.3233 0.3233 0.1445  3 Dy 3.36-3.43, 4 Er 3.47-3.61, 3 Tm 3.55-3.67
6 Er 0.6767 0.6767 0.8555  3 Dy 3.36-3.43, 4 Er 3.47-3.61, 3 Tm 3.55-3.67
7 Er 0.7896 0.7896 0.4268  7 Er 3.30-3.61, 2 Dy 3.43-3.65, 1 Tm 3.57
8 Tm 0.4402 0.4402 0.7137  6 Er 3.40-3.67, 2 Dy 3.47, 2 Tm 3.58-3.68
9 Tm 0.5598 0.5598 0.2863  6 Er 3.40-3.67, 2 Dy 3.47, 2 Tm 3.58-3.68

Values from the calculation:
Its calculated formation energy is 0.131 eV per atom.

---

(10)
The following is a DFT calculation (PBE) of a relaxed MgF crystal.

a b c (Å): 6.0446 5.7782 4.9898
angles (deg): 67.84 62.29 49.86
Closest atoms and distances in Å follow each position.
Element x y z (fractional)
1 Mg 0.1159 0.6341 0.6341  4 F 2.13-2.17
2 Mg 0.3659 0.8841 0.8841  4 F 2.13-2.17
3 Mg 0.6341 0.1159 0.1159  4 F 2.13-2.17
4 Mg 0.8841 0.3659 0.3659  4 F 2.13-2.17
5 F 0.2405 0.2405 0.5095  4 Mg 2.13-2.17
6 F 0.4905 0.4905 0.7595  4 Mg 2.13-2.17
7 F 0.5095 0.5095 0.2405  4 Mg 2.13-2.17
8 F 0.7595 0.7595 0.4905  4 Mg 2.13-2.17

Values from the calculation:
As for the uncorrected formation energy: -2.354 eV per atom.

---

(11)
The following is a DFT calculation (PBE) of a relaxed PmPrSnO crystal.

a b c (Å): 3.7404 3.8060 14.3193
angles (deg): 90.00 90.00 90.00
Closest atoms and distances in Å follow each position.
Element x y z (fractional)
1 Pm 0.0000 0.0000 0.0000  2 O 2.31
2 Pm 0.5000 0.5000 0.5000  2 O 2.31
3 Pr 0.0000 0.0000 0.6939  2 O 2.37
4 Pr 0.5000 0.5000 0.1939  2 O 2.37
5 Sn 0.0000 0.0000 0.3490  4 Pm 3.43, 4 Pr 3.47, 4 Sn 3.74-3.81
6 Sn 0.5000 0.5000 0.8490  4 Pm 3.43, 4 Pr 3.47, 4 Sn 3.74-3.81
7 O 0.0000 0.5000 0.5949  2 Pm 2.31, 2 Pr 2.37
8 O 0.5000 0.0000 0.0949  2 Pm 2.31, 2 Pr 2.37

Values from the calculation:
As for the uncorrected formation energy: -1.739 eV per atom.

---

(12)
The following is a DFT calculation (PBE) of a relaxed ZnSi23 crystal.

a b c (Å): 10.2353 10.2353 10.2353
angles (deg): 90.00 90.00 90.00
Closest atoms and distances in Å follow each position.
Element x y z (fractional)
1 Zn 0.0000 0.0000 0.0000  20 Si 3.25-3.37
2 Zn 0.5000 0.5000 0.5000  20 Si 3.25-3.37
3 Si 0.0000 0.1171 0.3077  4 Si 2.37-2.40
4 Si 0.0000 0.1171 0.6923  4 Si 2.37-2.40
5 Si 0.0000 0.2500 0.5000  4 Si 2.39
6 Si 0.0000 0.7500 0.5000  4 Si 2.39
7 Si 0.0000 0.8829 0.3077  4 Si 2.37-2.40
8 Si 0.0000 0.8829 0.6923  4 Si 2.37-2.40
9 Si 0.1171 0.3077 0.0000  4 Si 2.37-2.40
10 Si 0.1171 0.6923 0.0000  4 Si 2.37-2.40
11 Si 0.1834 0.1834 0.1834  4 Si 2.36-2.37
12 Si 0.1834 0.1834 0.8166  4 Si 2.36-2.37
13 Si 0.1834 0.8166 0.1834  4 Si 2.36-2.37
14 Si 0.1834 0.8166 0.8166  4 Si 2.36-2.37
15 Si 0.1923 0.3829 0.5000  4 Si 2.37-2.40
16 Si 0.1923 0.6171 0.5000  4 Si 2.37-2.40
17 Si 0.2500 0.5000 0.0000  4 Si 2.39
18 Si 0.3077 0.0000 0.1171  4 Si 2.37-2.40
19 Si 0.3077 0.0000 0.8829  4 Si 2.37-2.40
20 Si 0.3166 0.3166 0.3166  4 Si 2.36-2.37
21 Si 0.3166 0.3166 0.6834  4 Si 2.36-2.37
22 Si 0.3166 0.6834 0.3166  4 Si 2.36-2.37
23 Si 0.3166 0.6834 0.6834  4 Si 2.36-2.37
24 Si 0.3829 0.5000 0.1923  4 Si 2.37-2.40
25 Si 0.3829 0.5000 0.8077  4 Si 2.37-2.40
26 Si 0.5000 0.0000 0.2500  4 Si 2.39
27 Si 0.5000 0.0000 0.7500  4 Si 2.39
28 Si 0.5000 0.1923 0.3829  4 Si 2.37-2.40
29 Si 0.5000 0.1923 0.6171  4 Si 2.37-2.40
30 Si 0.5000 0.8077 0.3829  4 Si 2.37-2.40
31 Si 0.5000 0.8077 0.6171  4 Si 2.37-2.40
32 Si 0.6171 0.5000 0.1923  4 Si 2.37-2.40
33 Si 0.6171 0.5000 0.8077  4 Si 2.37-2.40
34 Si 0.6834 0.3166 0.3166  4 Si 2.36-2.37
35 Si 0.6834 0.3166 0.6834  4 Si 2.36-2.37
36 Si 0.6834 0.6834 0.3166  4 Si 2.36-2.37
37 Si 0.6834 0.6834 0.6834  4 Si 2.36-2.37
38 Si 0.6923 0.0000 0.1171  4 Si 2.37-2.40
39 Si 0.6923 0.0000 0.8829  4 Si 2.37-2.40
40 Si 0.7500 0.5000 0.0000  4 Si 2.39
41 Si 0.8077 0.3829 0.5000  4 Si 2.37-2.40
42 Si 0.8077 0.6171 0.5000  4 Si 2.37-2.40
43 Si 0.8166 0.1834 0.1834  4 Si 2.36-2.37
44 Si 0.8166 0.1834 0.8166  4 Si 2.36-2.37
45 Si 0.8166 0.8166 0.1834  4 Si 2.36-2.37
46 Si 0.8166 0.8166 0.8166  4 Si 2.36-2.37
47 Si 0.8829 0.3077 0.0000  4 Si 2.37-2.40
48 Si 0.8829 0.6923 0.0000  4 Si 2.37-2.40

Values from the calculation:
As for the uncorrected formation energy: 0.083 eV per atom.

---

Total DFT energy (no corrections) list, top to bottom, in eV per atom: -5.426, -3.897, -1.815, -7.959, -3.526, -1.544, -2.705, -7.126, -4.420, -4.087, -6.362, -5.168